This record from Alexandria describes crystalline MnCo2Pt at its relaxed geometry. The functional is PBE-GGA.

Results
**E_form**: 19 kJ/mol of formula units
**Crystal system**: monoclinic

Lattice parameters (Å, degrees): 4.973 4.973 2.629 101.50 101.50 118.18
Element x y z (fractional)
Mn1 0.000 0.000 0.000
Co1 0.000 0.500 0.500
Co2 0.500 0.000 0.500
Pt1 0.500 0.500 0.000

This record from Alexandria describes crystalline MnBe3 at its relaxed geometry. The functional is PBE-GGA.

Results
**E_form**: -6 kJ/mol of formula units
**Crystal system**: cubic

Lattice parameters (Å, degrees): 3.707 3.707 3.707 60.00 60.00 60.00
Element x y z (fractional)
Mn1 0.000 0.000 0.000
Be1 0.250 0.250 0.250
Be2 0.500 0.500 0.500
Be3 0.750 0.750 0.750

This record from Alexandria describes crystalline ErMgAlCd at its relaxed geometry. The functional is PBE-GGA.

Results
**E_form**: -95 kJ/mol of formula units
**Crystal system**: cubic

Lattice parameters (Å, degrees): 4.999 4.999 4.999 60.00 60.00 60.00
Element x y z (fractional)
Er1 0.000 0.000 0.000
Mg1 0.500 0.500 0.500
Al1 0.250 0.250 0.250
Cd1 0.750 0.750 0.750

This record from Alexandria describes crystalline Sc5GeS4 at its relaxed geometry. The functional is PBE-GGA.

Results
**Crystal system**: tetragonal
**Formation energy without anion corrections**: -1.684 eV/atom

Lattice parameters (Å, degrees): 6.477 6.477 6.477 99.55 99.55 131.93
Element x y z (fractional)
Sc1 0.000 0.000 0.000
Sc2 0.199 0.600 0.799
Sc3 0.400 0.199 0.599
Sc4 0.600 0.801 0.401
Sc5 0.801 0.400 0.201
Ge1 0.500 0.500 0.000
S1 0.100 0.301 0.402
S2 0.301 0.900 0.201
S3 0.699 0.100 0.799
S4 0.900 0.699 0.598

Number 1: total magnetic moment 7.48 μB per formula unit, E_tot -29.2 eV for the cell shown. Number 2: total magnetic moment 2.42 μB per formula unit, E_tot -20.4 eV for the cell shown. Number 3: total magnetic moment 0.00 μB per formula unit, E_tot -11.8 eV for the cell shown. Number 4: total magnetic moment 0.00 μB per formula unit, E_tot -69.6 eV for the cell shown.